Version A
The following is a GGA-PBE calculation of a relaxed structure of Zn2SbBr, from Alexandria via LeMat-Bulk.

Computed properties:
Crystal system: orthorhombic
Space group: Imm2

Cell lengths 5.919, 5.919, 5.919 Å; angles 147.71, 122.67, 67.35 degrees
Sites, in units of the cell vectors:
1 Zn 0.000 0.000 0.000
2 Zn 0.793 0.293 0.500
3 Sb 0.245 0.745 0.500
4 Br 0.571 0.571 0.000



Version B
The following is a GGA-PBE calculation of a relaxed structure of Zn2SbBr, from Alexandria via LeMat-Bulk.

Computed properties:
Crystal system: tetragonal
Space group: I-42d

Cell lengths 7.706, 7.706, 7.706 Å; angles 133.33, 133.33, 68.14 degrees
Sites, in units of the cell vectors:
1 Zn 0.095 0.625 0.970
2 Zn 0.375 0.345 0.470
3 Zn 0.655 0.125 0.030
4 Zn 0.875 0.905 0.530
5 Sb 0.000 0.000 0.000
6 Sb 0.750 0.250 0.500
7 Br 0.250 0.750 0.500
8 Br 0.500 0.500 0.000



Version C
The following is a GGA-PBE calculation of a relaxed structure of Zn2SbBr, from Alexandria via LeMat-Bulk.

Computed properties:
Crystal system: cubic
Space group: F-43m

Cell lengths 5.055, 5.055, 5.055 Å; angles 60.00, 60.00, 60.00 degrees
Sites, in units of the cell vectors:
1 Zn 0.000 0.000 0.000
2 Zn 0.250 0.250 0.250
3 Sb 0.500 0.500 0.500
4 Br 0.750 0.750 0.750



Version D
The following is a GGA-PBE calculation of a relaxed structure of Zn2SbBr, from Alexandria via LeMat-Bulk.

Computed properties:
Crystal system: orthorhombic
Space group: Pmmm

Cell lengths 3.287, 5.096, 5.571 Å; angles 90.00, 90.00, 90.00 degrees
Sites, in units of the cell vectors:
1 Zn 0.000 0.000 0.000
2 Zn 0.500 0.500 0.000
3 Sb 0.000 0.500 0.500
4 Br 0.500 0.000 0.500



Most stable structure, least stable structure: version B, version C.



Version A
The following is a GGA-PBE calculation of a relaxed structure of ZrSbBr2, from Alexandria via LeMat-Bulk.

Computed properties:
Crystal system: monoclinic
Space group: P2/m

Cell lengths 5.881, 3.520, 7.382 Å; angles 90.00, 113.33, 90.00 degrees
Sites, in units of the cell vectors:
1 Zr 0.000 0.000 0.000
2 Sb 0.500 0.000 0.000
3 Br 0.150 0.500 0.302
4 Br 0.850 0.500 0.698



Version B
The following is a GGA-PBE calculation of a relaxed structure of ZrSbBr2, from Alexandria via LeMat-Bulk.

Computed properties:
Crystal system: orthorhombic
Space group: Cmmm

Cell lengths 3.506, 3.506, 12.442 Å; angles 90.00, 90.00, 123.71 degrees
Sites, in units of the cell vectors:
1 Zr 0.000 0.000 0.000
2 Sb 0.000 0.000 0.500
3 Br 0.500 0.500 0.172
4 Br 0.500 0.500 0.828



Version C
The following is a GGA-PBE calculation of a relaxed structure of ZrSbBr2, from Alexandria via LeMat-Bulk.

Computed properties:
Crystal system: monoclinic
Space group: Cm

Cell lengths 7.249, 7.249, 7.263 Å; angles 119.29, 119.29, 26.47 degrees
Sites, in units of the cell vectors:
1 Zr 0.000 0.000 0.000
2 Sb 0.325 0.325 0.001
3 Br 0.493 0.493 0.702
4 Br 0.647 0.647 0.298



Most stable structure, least stable structure: version C, version B.



Version A
The following is a GGA-PBE calculation of a relaxed structure of ZrSbBr2, from Alexandria via LeMat-Bulk.

Computed properties:
Crystal system: orthorhombic
Space group: Pmmm

Cell lengths 3.350, 5.001, 5.829 Å; angles 90.00, 90.00, 90.00 degrees
Sites, in units of the cell vectors:
1 Zr 0.000 0.000 0.000
2 Sb 0.500 0.000 0.500
3 Br 0.000 0.500 0.500
4 Br 0.500 0.500 0.000



Version B
The following is a GGA-PBE calculation of a relaxed structure of ZrSbBr2, from Alexandria via LeMat-Bulk.

Computed properties:
Crystal system: cubic
Space group: F-43m

Cell lengths 5.193, 5.193, 5.193 Å; angles 60.00, 60.00, 60.00 degrees
Sites, in units of the cell vectors:
1 Zr 0.000 0.000 0.000
2 Sb 0.750 0.750 0.750
3 Br 0.250 0.250 0.250
4 Br 0.500 0.500 0.500



Version C
The following is a GGA-PBE calculation of a relaxed structure of ZrSbBr2, from Alexandria via LeMat-Bulk.

Computed properties:
Crystal system: orthorhombic
Space group: Immm

Cell lengths 8.140, 8.140, 8.140 Å; angles 157.09, 140.43, 46.21 degrees
Sites, in units of the cell vectors:
1 Zr 0.000 0.000 0.000
2 Sb 0.500 0.500 0.000
3 Br 0.150 0.650 0.500
4 Br 0.850 0.350 0.500



Most stable structure, least stable structure: version C, version B.



Version A
The following is a GGA-PBE calculation of a relaxed structure of ZrSbBr2, from Alexandria via LeMat-Bulk.

Computed properties:
Crystal system: tetragonal
Space group: P4/mmm

Cell lengths 5.211, 5.211, 3.506 Å; angles 90.00, 90.00, 90.00 degrees
Sites, in units of the cell vectors:
1 Zr 0.000 0.000 0.000
2 Sb 0.500 0.500 0.000
3 Br 0.000 0.500 0.500
4 Br 0.500 0.000 0.500



Version B
The following is a GGA-PBE calculation of a relaxed structure of ZrSbBr2, from Alexandria via LeMat-Bulk.

Computed properties:
Crystal system: tetragonal
Space group: I-4m2

Cell lengths 5.554, 5.554, 5.554 Å; angles 130.25, 130.25, 73.01 degrees
Sites, in units of the cell vectors:
1 Zr 0.000 0.000 0.000
2 Sb 0.750 0.250 0.500
3 Br 0.250 0.750 0.500
4 Br 0.500 0.500 0.000



Version C
The following is a GGA-PBE calculation of a relaxed structure of ZrSbBr2, from Alexandria via LeMat-Bulk.

Computed properties:
Crystal system: trigonal
Space group: R-3m

Cell lengths 10.569, 10.569, 10.569 Å; angles 19.05, 19.05, 19.05 degrees
Sites, in units of the cell vectors:
1 Zr 0.000 0.000 0.000
2 Sb 0.500 0.500 0.500
3 Br 0.083 0.083 0.083
4 Br 0.917 0.917 0.917



Most stable structure, least stable structure: version C, version A.



Version A
The following is a GGA-PBE calculation of a relaxed structure of ZrSb3Br, from Alexandria via LeMat-Bulk.

Computed properties:
Crystal system: cubic
Space group: Pm-3m

Cell lengths 5.349, 5.349, 5.349 Å; angles 90.00, 90.00, 90.00 degrees
Sites, in units of the cell vectors:
1 Zr 0.000 0.000 0.000
2 Sb 0.000 0.500 0.500
3 Sb 0.500 0.000 0.500
4 Sb 0.500 0.500 0.000
5 Br 0.500 0.500 0.500



Version B
The following is a GGA-PBE calculation of a relaxed structure of ZrSb3Br, from Alexandria via LeMat-Bulk.

Computed properties:
Crystal system: cubic
Space group: Pm-3m

Cell lengths 5.534, 5.534, 5.534 Å; angles 90.00, 90.00, 90.00 degrees
Sites, in units of the cell vectors:
1 Zr 0.000 0.000 0.000
2 Sb 0.000 0.000 0.500
3 Sb 0.000 0.500 0.000
4 Sb 0.500 0.000 0.000
5 Br 0.500 0.500 0.500



Most stable structure, least stable structure: version B, version A.



Version A
The following is a GGA-PBE calculation of a relaxed structure of Sc3Br, from Alexandria via LeMat-Bulk.

Computed properties:
Crystal system: monoclinic
Space group: P2/m

Cell lengths 3.466, 4.852, 5.847 Å; angles 90.00, 105.85, 90.00 degrees
Sites, in units of the cell vectors:
1 Sc 0.000 0.000 0.000
2 Sc 0.351 0.500 0.742
3 Sc 0.649 0.500 0.258
4 Br 0.000 0.000 0.500



Version B
The following is a GGA-PBE calculation of a relaxed structure of Sc3Br, from Alexandria via LeMat-Bulk.

Computed properties:
Crystal system: tetragonal
Space group: P4/mmm

Cell lengths 3.298, 3.298, 8.777 Å; angles 90.00, 90.00, 90.00 degrees
Sites, in units of the cell vectors:
1 Sc 0.000 0.000 0.000
2 Sc 0.500 0.500 0.255
3 Sc 0.500 0.500 0.745
4 Br 0.000 0.000 0.500



Version C
The following is a GGA-PBE calculation of a relaxed structure of Sc3Br, from Alexandria via LeMat-Bulk.

Computed properties:
Crystal system: trigonal
Space group: R-3m

Cell lengths 9.543, 9.543, 9.543 Å; angles 20.69, 20.69, 20.69 degrees
Sites, in units of the cell vectors:
1 Sc 0.000 0.000 0.000
2 Sc 0.244 0.244 0.244
3 Sc 0.756 0.756 0.756
4 Br 0.500 0.500 0.500



Version D
The following is a GGA-PBE calculation of a relaxed structure of Sc3Br, from Alexandria via LeMat-Bulk.

Computed properties:
Crystal system: hexagonal
Space group: P-6m2

Cell lengths 3.417, 3.417, 9.274 Å; angles 90.00, 90.00, 120.00 degrees
Sites, in units of the cell vectors:
1 Sc 0.000 0.000 0.000
2 Sc 0.667 0.333 0.267
3 Sc 0.667 0.333 0.733
4 Br 0.000 0.000 0.500



Most stable structure, least stable structure: version D, version A.



Version A
The following is a GGA-PBE calculation of a relaxed structure of Sc3Br, from Alexandria via LeMat-Bulk.

Computed properties:
Crystal system: orthorhombic
Space group: Imm2

Cell lengths 5.706, 5.706, 5.706 Å; angles 145.51, 73.55, 117.33 degrees
Sites, in units of the cell vectors:
1 Sc 0.000 0.000 0.000
2 Sc 0.402 0.606 0.796
3 Sc 0.810 0.606 0.204
4 Br 0.364 0.864 0.500



Version B
The following is a GGA-PBE calculation of a relaxed structure of Sc3Br, from Alexandria via LeMat-Bulk.

Computed properties:
Crystal system: cubic
Space group: Pm-3m

Cell lengths 4.554, 4.554, 4.554 Å; angles 90.00, 90.00, 90.00 degrees
Sites, in units of the cell vectors:
1 Sc 0.000 0.000 0.500
2 Sc 0.000 0.500 0.000
3 Sc 0.500 0.000 0.000
4 Br 0.500 0.500 0.500



Most stable structure, least stable structure: version A, version B.



Version A
The following is a GGA-PBE calculation of a relaxed structure of Sc3Br, from Alexandria via LeMat-Bulk.

Computed properties:
Crystal system: orthorhombic
Space group: Cmmm

Cell lengths 5.508, 5.508, 3.348 Å; angles 90.00, 90.00, 112.86 degrees
Sites, in units of the cell vectors:
1 Sc 0.000 0.000 0.000
2 Sc 0.000 0.500 0.500
3 Sc 0.500 0.000 0.500
4 Br 0.500 0.500 0.000



Version B
The following is a GGA-PBE calculation of a relaxed structure of Sc3Br, from Alexandria via LeMat-Bulk.

Computed properties:
Crystal system: monoclinic
Space group: C2/m

Cell lengths 6.040, 6.040, 5.472 Å; angles 115.03, 115.03, 31.75 degrees
Sites, in units of the cell vectors:
1 Sc 0.000 0.000 0.000
2 Sc 0.225 0.225 0.728
3 Sc 0.775 0.775 0.272
4 Br 0.500 0.500 0.500



Version C
The following is a GGA-PBE calculation of a relaxed structure of Sc3Br, from Alexandria via LeMat-Bulk.

Computed properties:
Crystal system: cubic
Space group: Fm-3m

Cell lengths 5.147, 5.147, 5.147 Å; angles 60.00, 60.00, 60.00 degrees
Sites, in units of the cell vectors:
1 Sc 0.000 0.000 0.000
2 Sc 0.250 0.250 0.250
3 Sc 0.750 0.750 0.750
4 Br 0.500 0.500 0.500



Most stable structure, least stable structure: version B, version C.



Version A
The following is a GGA-PBE calculation of a relaxed structure of ScBr5, from Alexandria via LeMat-Bulk.

Computed properties:
Crystal system: orthorhombic
Space group: Cmmm

Cell lengths 7.518, 7.518, 6.447 Å; angles 90.00, 90.00, 150.99 degrees
Sites, in units of the cell vectors:
1 Sc 0.000 0.000 0.000
2 Br 0.170 0.830 0.500
3 Br 0.375 0.625 0.000
4 Br 0.500 0.500 0.500
5 Br 0.625 0.375 0.000
6 Br 0.830 0.170 0.500



Version B
The following is a GGA-PBE calculation of a relaxed structure of ScBr5, from Alexandria via LeMat-Bulk.

Computed properties:
Crystal system: hexagonal
Space group: P-62m

Cell lengths 5.340, 5.340, 6.101 Å; angles 90.00, 90.00, 120.00 degrees
Sites, in units of the cell vectors:
1 Sc 0.000 0.000 0.000
2 Br 0.000 0.678 0.500
3 Br 0.322 0.322 0.500
4 Br 0.333 0.667 0.000
5 Br 0.667 0.333 0.000
6 Br 0.678 0.000 0.500



Most stable structure, least stable structure: version A, version B.



Version A
The following is a GGA-PBE calculation of a relaxed structure of ScBr5, from Alexandria via LeMat-Bulk.

Computed properties:
Crystal system: monoclinic
Space group: Cm

Cell lengths 7.507, 7.507, 8.607 Å; angles 119.91, 119.91, 28.27 degrees
Sites, in units of the cell vectors:
1 Sc 0.000 0.000 0.000
2 Br 0.284 0.284 0.274
3 Br 0.342 0.342 0.865
4 Br 0.566 0.566 0.845
5 Br 0.618 0.618 0.288
6 Br 0.948 0.948 0.287



Version B
The following is a GGA-PBE calculation of a relaxed structure of ScBr5, from Alexandria via LeMat-Bulk.

Computed properties:
Crystal system: cubic
Space group: F-43m

Cell lengths 6.112, 6.112, 6.112 Å; angles 60.00, 60.00, 60.00 degrees
Sites, in units of the cell vectors:
1 Sc 0.000 0.000 0.000
2 Br 0.375 0.375 0.375
3 Br 0.375 0.375 0.876
4 Br 0.375 0.876 0.375
5 Br 0.750 0.750 0.750
6 Br 0.876 0.375 0.375



Most stable structure, least stable structure: version A, version B.



Version A
The following is a GGA-PBE calculation of a relaxed structure of ScSe2Br, from Alexandria via LeMat-Bulk.

Computed properties:
Crystal system: monoclinic
Space group: Cm

Cell lengths 5.262, 5.262, 6.542 Å; angles 99.96, 99.96, 41.81 degrees
Sites, in units of the cell vectors:
1 Sc 0.000 0.000 0.000
2 Se 0.297 0.297 0.960
3 Se 0.441 0.441 0.700
4 Br 0.626 0.626 0.281



Version B
The following is a GGA-PBE calculation of a relaxed structure of ScSe2Br, from Alexandria via LeMat-Bulk.

Computed properties:
Crystal system: trigonal
Space group: R-3m

Cell lengths 8.157, 8.157, 8.157 Å; angles 27.84, 27.84, 27.84 degrees
Sites, in units of the cell vectors:
1 Sc 0.000 0.000 0.000
2 Se 0.272 0.272 0.272
3 Se 0.728 0.728 0.728
4 Br 0.500 0.500 0.500



Most stable structure, least stable structure: version A, version B.